Record 1
Computed, not measured: a relaxed Sm2Dy2Y2Er crystal at the PBE level of DFT.

Structure (extended XYZ):
```
7
Lattice="2.844 1.642 8.157 -2.844 1.642 8.157 0.000 -3.284 8.157" Properties=species:S:1:pos:R:3 pbc="T T T"
Sm 0.000 0.000 3.420
Sm 0.000 0.000 21.050
Dy 0.000 0.000 6.977
Dy 0.000 0.000 17.493
Y 0.000 0.000 10.445
Y 0.000 0.000 14.025
Er 0.000 0.000 0.000
```

Values from the calculation:
- Space-group type: R-3m

=====

Record 2
Computed, not measured: a relaxed SmDyY2Er5 crystal at the PBE level of DFT.

Structure (extended XYZ):
```
18
Lattice="2.794 -9.824 0.000 2.794 9.824 0.000 0.000 0.000 10.563" Properties=species:S:1:pos:R:3 pbc="T T T"
Sm 2.794 8.176 5.282
Sm 2.794 -8.176 0.000
Dy 2.794 3.959 0.589
Dy 2.794 -3.959 5.871
Y 2.794 2.227 3.852
Y 2.794 2.158 8.239
Y 2.794 -2.158 2.957
Y 2.794 -2.227 9.133
Er 2.794 9.410 8.258
Er 2.794 7.673 0.707
Er 2.794 5.869 7.957
Er 2.794 5.557 3.741
Er 2.794 0.379 0.747
Er 2.794 -0.379 6.028
Er 2.794 -5.557 9.022
Er 2.794 -5.869 2.676
Er 2.794 -7.673 5.988
Er 2.794 -9.410 2.976
```

Values from the calculation:
- Space-group type: Cmc2_1

=====

Record 3
Computed, not measured: a relaxed Sm2Dy2YEr crystal at the PBE level of DFT.

Structure (extended XYZ):
```
12
Lattice="7.004 0.000 0.000 0.000 5.633 0.000 0.000 0.000 9.756" Properties=species:S:1:pos:R:3 pbc="T T T"
Sm 0.000 0.000 0.000
Sm 1.751 2.817 1.700
Sm 3.502 0.000 0.000
Sm 5.253 2.817 8.056
Dy 1.751 0.000 3.222
Dy 1.751 2.817 8.171
Dy 5.253 0.000 6.534
Dy 5.253 2.817 1.585
Y 0.000 2.817 4.878
Y 3.502 2.817 4.878
Er 1.751 0.000 6.445
Er 5.253 0.000 3.311
```

Values from the calculation:
- Space-group type: Pmma

=====

Short version: energy relative to the elements = 0.139; 0.157; 0.064 eV per atom, in the order given.
Short version: E = -5.023; -4.850; -4.881 eV/atom, in the order given.